A PBEsol-optimized structure of Li2SbPb, computed with SCAN.

Cell: 10.079 10.079 10.079 Å, 154.36 154.36 36.57°
Fractional coordinates of all 8 atoms:
1 Li 0.111 0.625 0.986
2 Li 0.375 0.361 0.486
3 Li 0.639 0.125 0.014
4 Li 0.875 0.889 0.514
5 Sb 0.000 0.000 0.000
6 Sb 0.750 0.250 0.500
7 Pb 0.250 0.750 0.500
8 Pb 0.500 0.500 0.000

Computed properties:
- N(E_F): 3.1 states/eV per cell
- Distance to the lowest polymorph of the same formula: 161 meV per atom
- Density: 5.948 g/cm³

***

A PBEsol-optimized structure of KLaMn2, computed with SCAN.

Cell: 3.785 3.785 7.969 Å, 90.00 90.00 90.00°
Fractional coordinates of all 4 atoms:
1 K 0.000 0.000 0.000
2 La 0.000 0.000 0.500
3 Mn 0.500 0.500 0.328
4 Mn 0.500 0.500 0.672

Computed properties:
- Calculated formation energy: 0.37 eV per atom
- N(E_F): 4.2 states/eV per cell
- Density: 4.188 g/cm³

***

A PBEsol-optimized structure of FeAsSe, computed with SCAN.

Cell: 5.855 5.780 5.900 Å, 90.00 113.54 90.00°
Fractional coordinates of all 12 atoms:
1 Fe 0.223 0.000 0.207
2 Fe 0.223 0.500 0.707
3 Fe 0.777 0.000 0.793
4 Fe 0.777 0.500 0.293
5 As 0.358 0.139 0.621
6 As 0.358 0.361 0.121
7 As 0.642 0.639 0.879
8 As 0.642 0.861 0.379
9 Se 0.155 0.634 0.321
10 Se 0.155 0.866 0.821
11 Se 0.845 0.134 0.179
12 Se 0.845 0.366 0.679

Computed properties:
- E_tot: -19.75 eV/atom
- Density: 7.610 g/cm³

***

A PBEsol-optimized structure of In2AuSe, computed with SCAN.

Cell: 5.316 5.316 5.316 Å, 135.58 112.03 84.88°
Fractional coordinates of all 4 atoms:
1 In 0.241 0.241 0.000
2 In 0.759 0.759 0.000
3 Au 0.000 0.500 0.500
4 Se 0.500 0.000 0.500

Computed properties:
- E_tot: -39.13 eV/atom
- N(E_F): 1.2 states/eV per cell
- Density: 8.959 g/cm³

***

Question: Number 1 is which compound?
Answer: Li2SbPb